Density functional theory data (PBE-GGA) for a relaxed structure of CaAlBr.

The space group is F-43m (No. 216) and the conventional cell measures 7.3841, 7.3841 and 7.3841 Å, with angles of 90.00, 90.00 and 90.00 degrees. Symmetry generates all atoms from Ca at (0.0000, 0.0000, 0.0000), Al at (0.2500, 0.2500, 0.2500) and Br at (0.2500, 0.2500, 0.7500).

For the total magnetization, the calculation gives 0.7 μB/f.u. The value obtained for the electronic total energy is -2.5727 eV per atom.